one | ! CsK | the Alexandria database | PBE | optimized geometry; values from VASP
&SYSTEM
  ibrav = 0, nat = 4, ntyp = 2
/
ATOMIC_SPECIES
K 39.10 K.upf
Cs 132.91 Cs.upf
CELL_PARAMETERS angstrom
-8.152 0.509 0.963
-0.610 -3.997 -3.050
0.490 -5.429 7.018
ATOMIC_POSITIONS crystal
K 0.500 0.500 0.843
K 0.500 0.000 0.343
Cs 0.000 0.500 0.173
Cs 0.000 0.000 0.673
! crystal system	orthorhombic
! magnetic moment	0.0	μB per formula unit
! mass density	1.54	g cm⁻³

---

two | ! CsK | the Alexandria database | PBE | optimized geometry; values from VASP
&SYSTEM
  ibrav = 0, nat = 2, ntyp = 2
/
ATOMIC_SPECIES
K 39.10 K.upf
Cs 132.91 Cs.upf
CELL_PARAMETERS angstrom
-0.655 6.555 -0.443
-5.599 2.898 1.959
-0.068 3.688 5.475
ATOMIC_POSITIONS crystal
K 0.000 0.000 0.000
Cs 0.500 0.500 0.500
! crystal system	cubic
! magnetic moment	0.0	μB per formula unit
! mass density	1.40	g cm⁻³

---

three | ! CsK | the Alexandria database | PBE | optimized geometry; values from VASP
&SYSTEM
  ibrav = 0, nat = 8, ntyp = 2
/
ATOMIC_SPECIES
Cs 132.91 Cs.upf
K 39.10 K.upf
CELL_PARAMETERS angstrom
6.570 0.000 0.000
0.000 6.570 0.000
-3.285 -3.285 18.012
ATOMIC_POSITIONS crystal
Cs 0.300 0.300 0.600
Cs 0.050 0.550 0.100
Cs 0.700 0.700 0.400
Cs 0.450 0.950 0.900
K 0.164 0.164 0.329
K 0.836 0.836 0.671
K 0.586 0.086 0.171
K 0.914 0.414 0.829
! crystal system	tetragonal
! magnetic moment	0.0	μB per formula unit
! mass density	1.47	g cm⁻³

---

four | ! CsK | the Alexandria database | PBE | optimized geometry; values from VASP
&SYSTEM
  ibrav = 0, nat = 32, ntyp = 2
/
ATOMIC_SPECIES
Cs 132.91 Cs.upf
K 39.10 K.upf
CELL_PARAMETERS angstrom
12.397 0.000 0.000
0.000 14.227 0.000
0.000 0.000 17.851
ATOMIC_POSITIONS crystal
Cs 0.500 0.313 0.000
Cs 0.250 0.063 0.750
Cs 0.250 0.437 0.750
Cs 0.500 0.187 0.500
Cs 0.750 0.063 0.250
Cs 0.000 0.687 0.500
Cs 0.250 0.937 0.250
Cs 0.750 0.937 0.750
Cs 0.000 0.813 0.000
Cs 0.750 0.437 0.250
Cs 0.250 0.563 0.250
Cs 0.750 0.563 0.750
Cs 0.500 0.813 0.500
Cs 0.500 0.687 0.000
Cs 0.000 0.313 0.500
Cs 0.000 0.187 0.000
K 0.580 0.250 0.750
K 0.830 0.000 0.500
K 0.080 0.750 0.750
K 0.330 0.000 0.000
K 0.580 0.750 0.250
K 0.420 0.750 0.750
K 0.830 0.500 0.000
K 0.080 0.250 0.250
K 0.170 0.500 0.000
K 0.170 0.000 0.500
K 0.420 0.250 0.250
K 0.670 0.500 0.500
K 0.330 0.500 0.500
K 0.670 0.000 0.000
K 0.920 0.750 0.250
K 0.920 0.250 0.750
! crystal system	orthorhombic
! magnetic moment	0.0	μB per formula unit
! mass density	1.45	g cm⁻³

---

Least stable: two

---

one | ! CsK | the Alexandria database | PBE | optimized geometry; values from VASP
&SYSTEM
  ibrav = 0, nat = 12, ntyp = 2
/
ATOMIC_SPECIES
Cs 132.91 Cs.upf
K 39.10 K.upf
CELL_PARAMETERS angstrom
8.033 0.000 0.000
0.000 14.276 0.000
0.000 0.000 9.674
ATOMIC_POSITIONS crystal
Cs 0.000 0.176 0.833
Cs 0.500 0.676 0.333
Cs 0.500 0.000 0.078
Cs 0.000 0.500 0.578
Cs 0.000 0.824 0.833
Cs 0.500 0.324 0.333
K 0.500 0.000 0.578
K 0.000 0.500 0.078
K 0.500 0.652 0.839
K 0.500 0.348 0.839
K 0.000 0.848 0.339
K 0.000 0.152 0.339
! crystal system	orthorhombic
! magnetic moment	0.0	μB per formula unit
! mass density	1.54	g cm⁻³

---

two | ! CsK | the Alexandria database | PBE | optimized geometry; values from VASP
&SYSTEM
  ibrav = 0, nat = 2, ntyp = 2
/
ATOMIC_SPECIES
K 39.10 K.upf
Cs 132.91 Cs.upf
CELL_PARAMETERS angstrom
5.685 0.000 0.000
0.000 5.685 0.000
0.000 0.000 5.685
ATOMIC_POSITIONS crystal
K 0.000 0.000 0.000
Cs 0.500 0.500 0.500
! crystal system	cubic
! magnetic moment	0.0	μB per formula unit
! mass density	1.55	g cm⁻³

---

three | ! CsK | the Alexandria database | PBE | optimized geometry; values from VASP
&SYSTEM
  ibrav = 0, nat = 8, ntyp = 2
/
ATOMIC_SPECIES
Cs 132.91 Cs.upf
K 39.10 K.upf
CELL_PARAMETERS angstrom
9.288 0.000 0.000
0.000 9.288 0.000
0.000 0.000 9.301
ATOMIC_POSITIONS crystal
Cs 0.810 0.190 0.500
Cs 0.310 0.310 0.000
Cs 0.690 0.690 0.000
Cs 0.190 0.810 0.500
K 0.321 0.321 0.500
K 0.679 0.679 0.500
K 0.179 0.821 0.000
K 0.821 0.179 0.000
! crystal system	tetragonal
! magnetic moment	0.0	μB per formula unit
! mass density	1.42	g cm⁻³

---

Least stable: three

---

one | ! CsK | the Alexandria database | PBE | optimized geometry; values from VASP
&SYSTEM
  ibrav = 0, nat = 8, ntyp = 2
/
ATOMIC_SPECIES
K 39.10 K.upf
Cs 132.91 Cs.upf
CELL_PARAMETERS angstrom
-0.267 8.100 -2.129
-9.926 -1.282 -3.632
-2.733 -4.681 9.121
ATOMIC_POSITIONS crystal
K 0.250 0.876 0.750
K 0.250 0.376 0.250
K 0.750 0.124 0.250
K 0.750 0.624 0.750
Cs 0.750 0.626 0.250
Cs 0.250 0.374 0.750
Cs 0.750 0.126 0.750
Cs 0.250 0.874 0.250
! crystal system	monoclinic
! magnetic moment	0.0	μB per formula unit
! mass density	1.57	g cm⁻³

---

two | ! CsK | the Alexandria database | PBE | optimized geometry; values from VASP
&SYSTEM
  ibrav = 0, nat = 8, ntyp = 2
/
ATOMIC_SPECIES
K 39.10 K.upf
Cs 132.91 Cs.upf
CELL_PARAMETERS angstrom
10.521 0.000 0.000
0.000 10.521 0.000
0.000 0.000 10.521
ATOMIC_POSITIONS crystal
K 0.250 0.250 0.250
K 0.750 0.250 0.750
K 0.750 0.750 0.250
K 0.250 0.750 0.750
Cs 0.500 0.500 0.000
Cs 0.500 0.000 0.500
Cs 0.000 0.000 0.000
Cs 0.000 0.500 0.500
! crystal system	cubic
! magnetic moment	0.0	μB per formula unit
! mass density	0.98	g cm⁻³

---

Least stable: two